Below is a geometry-optimized Cd2SbCl structure, with properties calculated at the GGA-PBE level.

abc: 3.687 3.687 8.088
angles: 90.00 90.00 107.87
Sites, in units of the cell vectors:
Sb  0.500  0.500  0.750
Cl  0.500  0.500  0.250
Cd  0.000  0.000  0.000
Cd  0.000  0.000  0.500

Volume in A^3/atom: 26.166
Space-group type: Cmmm, No. 65
Energy above the most stable polymorph in this dataset in meV per atom: 233
DOS(E_F) in states/eV/atom: 0.33
Total moment in μB per formula unit: 0.0

---

Below is a geometry-optimized CdSbCl structure, with properties calculated at the GGA-PBE level.

abc: 3.523 3.523 7.647
angles: 90.00 90.00 120.00
Sites, in units of the cell vectors:
Sb  0.333  0.667  0.721
Cl  0.667  0.333  0.252
Cd  0.000  0.000  0.027

Volume in A^3/atom: 27.399
Space-group type: P3m1, No. 156
Energy above the most stable polymorph in this dataset in meV per atom: 164
DOS(E_F) in states/eV/atom: 0.28
Total moment in μB per formula unit: 0.0

---

Below is a geometry-optimized CdSbCl2 structure, with properties calculated at the GGA-PBE level.

abc: 5.160 5.160 5.160
angles: 60.00 60.00 60.00
Sites, in units of the cell vectors:
Sb  0.500  0.500  0.500
Cl  0.250  0.250  0.250
Cl  0.750  0.750  0.750
Cd  0.000  0.000  0.000

Volume in A^3/atom: 24.287
Space-group type: Fm-3m, No. 225
Energy above the most stable polymorph in this dataset in meV per atom: 505
DOS(E_F) in states/eV/atom: 0.84
Total moment in μB per formula unit: 0.0

---

Below is a geometry-optimized CdSbCl structure, with properties calculated at the GGA-PBE level.

abc: 5.033 5.033 5.033
angles: 60.00 60.00 60.00
Each line ends with the local moment (μB).
Sites, in units of the cell vectors:
Sb  0.750  0.750  0.750  0.19
Cl  0.500  0.500  0.500  0.05
Cd  0.000  0.000  0.000  0.03

Volume in A^3/atom: 30.043
Space-group type: F-43m, No. 216
Energy above the most stable polymorph in this dataset in meV per atom: 590
DOS(E_F) in states/eV/atom: 1.22
Total moment in μB per formula unit: 0.6

---

Below is a geometry-optimized Cd2SbCl structure, with properties calculated at the GGA-PBE level.

abc: 4.848 4.761 10.271
angles: 90.00 90.57 90.00
Sites, in units of the cell vectors:
Cd  0.671  0.618  0.156
Cd  0.700  0.720  0.770
Cd  0.201  0.220  0.446
Cd  0.232  0.119  0.060
Sb  0.170  0.741  0.284
Sb  0.733  0.241  0.932
Cl  0.202  0.854  0.674
Cl  0.699  0.354  0.542

Volume in A^3/atom: 29.632
Space-group type: P2_1, No. 4
Energy above the most stable polymorph in this dataset in meV per atom: 0
DOS(E_F) in states/eV/atom: 0.11
Total moment in μB per formula unit: 0.0

---

Below is a geometry-optimized Cd2SbCl structure, with properties calculated at the GGA-PBE level.

abc: 5.162 5.162 5.162
angles: 60.00 60.00 60.00
Sites, in units of the cell vectors:
Sb  0.750  0.750  0.750
Cl  0.500  0.500  0.500
Cd  0.000  0.000  0.000
Cd  0.250  0.250  0.250

Volume in A^3/atom: 24.316
Space-group type: F-43m, No. 216
Energy above the most stable polymorph in this dataset in meV per atom: 415
DOS(E_F) in states/eV/atom: 0.79
Total moment in μB per formula unit: 0.0

---

Below is a geometry-optimized Cd2Sb2Cl structure, with properties calculated at the GGA-PBE level.

abc: 5.278 6.762 8.809
angles: 79.27 90.04 67.10
Sites, in units of the cell vectors:
Cd  0.323  0.854  0.018
Cd  0.647  0.205  0.551
Cd  0.677  0.146  0.982
Cd  0.353  0.795  0.449
Sb  0.548  0.406  0.227
Sb  0.840  0.817  0.789
Sb  0.160  0.183  0.211
Sb  0.452  0.594  0.773
Cl  0.878  0.746  0.348
Cl  0.122  0.254  0.652

Volume in A^3/atom: 28.365
Space-group type: P-1, No. 2
Energy above the most stable polymorph in this dataset in meV per atom: 0
DOS(E_F) in states/eV/atom: 0.19
Total moment in μB per formula unit: 0.0

---

Below is a geometry-optimized CdSbCl2 structure, with properties calculated at the GGA-PBE level.

abc: 5.130 5.130 5.130
angles: 60.00 60.00 60.00
Each line ends with the local moment (μB).
Sites, in units of the cell vectors:
Sb  0.250  0.250  0.250  0.26
Cl  0.000  0.000  0.000  0.07
Cl  0.750  0.750  0.750  0.06
Cd  0.500  0.500  0.500  0.03

Volume in A^3/atom: 23.872
Space-group type: F-43m, No. 216
Energy above the most stable polymorph in this dataset in meV per atom: 487
DOS(E_F) in states/eV/atom: 0.88
Total moment in μB per formula unit: 0.8

---

Below is a geometry-optimized Cd3Sb2Cl2 structure, with properties calculated at the GGA-PBE level.

abc: 4.410 6.875 7.620
angles: 93.47 91.78 108.42
Sites, in units of the cell vectors:
Cd  0.000  0.000  0.000
Cd  0.697  0.448  0.280
Cd  0.303  0.552  0.720
Sb  0.620  0.265  0.941
Sb  0.380  0.735  0.059
Cl  0.863  0.716  0.544
Cl  0.137  0.284  0.456

Volume in A^3/atom: 31.217
Space-group type: P-1, No. 2
DOS(E_F) in states/eV/atom: 0.10
VASP energy in eV/atom: -2.479
Total moment in μB per formula unit: 0.0

---

Below is a geometry-optimized CdSb2Cl8 structure, with properties calculated at the GGA-PBE level.

abc: 3.713 9.627 9.618
angles: 89.61 101.13 90.00
Sites, in units of the cell vectors:
Cd  0.500  0.000  0.000
Sb  0.155  0.734  0.309
Sb  0.845  0.266  0.691
Cl  0.599  0.565  0.199
Cl  0.357  0.044  0.715
Cl  0.240  0.303  0.481
Cl  0.000  0.808  0.000
Cl  0.760  0.697  0.519
Cl  0.643  0.956  0.285
Cl  0.401  0.435  0.801
Cl  0.000  0.192  0.000

Volume in A^3/atom: 30.662
Space-group type: C2/m, No. 12
Energy above the most stable polymorph in this dataset in meV per atom: 0
DOS(E_F) in states/eV/atom: 0.00
Total moment in μB per formula unit: 0.0

---

Below is a geometry-optimized CdSbCl2 structure, with properties calculated at the GGA-PBE level.

abc: 3.792 3.473 8.900
angles: 90.00 90.00 90.00
Sites, in units of the cell vectors:
Sb  0.000  0.444  0.511
Cl  0.000  0.974  0.923
Cl  0.500  0.449  0.299
Cd  0.500  0.634  0.767

Volume in A^3/atom: 29.302
Space-group type: Pm, No. 6
Energy above the most stable polymorph in this dataset in meV per atom: 71
DOS(E_F) in states/eV/atom: 0.45
Total moment in μB per formula unit: 0.0

---

Below is a geometry-optimized CdSbCl2 structure, with properties calculated at the GGA-PBE level.

abc: 9.497 9.497 9.497
angles: 20.95 20.95 20.95
Sites, in units of the cell vectors:
Sb  0.250  0.250  0.250
Cl  0.999  0.999  0.999
Cl  0.501  0.501  0.501
Cd  0.750  0.750  0.750

Volume in A^3/atom: 23.968
Space-group type: R-3m, No. 166
Energy above the most stable polymorph in this dataset in meV per atom: 255
DOS(E_F) in states/eV/atom: 0.48
Total moment in μB per formula unit: 0.0

---

Below is a geometry-optimized Cd2SbCl structure, with properties calculated at the GGA-PBE level.

abc: 5.900 5.900 5.455
angles: 89.99 89.99 32.15
Sites, in units of the cell vectors:
Sb  0.258  0.258  0.126
Cl  0.504  0.504  0.627
Cd  0.999  0.999  0.121
Cd  0.740  0.740  0.625

Volume in A^3/atom: 25.266
Space-group type: Cm, No. 8
Energy above the most stable polymorph in this dataset in meV per atom: 134
DOS(E_F) in states/eV/atom: 0.25
Total moment in μB per formula unit: 0.0

---

Below is a geometry-optimized CdSbCl6 structure, with properties calculated at the GGA-PBE level.

abc: 6.570 6.571 7.055
angles: 62.26 62.26 60.00
Sites, in units of the cell vectors:
Cd  0.500  0.500  0.500
Sb  0.000  0.000  0.000
Cl  0.089  0.396  0.754
Cl  0.761  0.089  0.754
Cl  0.604  0.239  0.246
Cl  0.239  0.911  0.246
Cl  0.911  0.604  0.246
Cl  0.396  0.761  0.754

Volume in A^3/atom: 27.804
Space-group type: R-3, No. 148
Energy above the most stable polymorph in this dataset in meV per atom: 23
DOS(E_F) in states/eV/atom: 0.64
Total moment in μB per formula unit: 0.0

---

Below is a geometry-optimized Cd2SbCl structure, with properties calculated at the GGA-PBE level.

abc: 3.322 3.322 9.616
angles: 90.00 90.00 103.19
Sites, in units of the cell vectors:
Sb  0.500  0.500  0.786
Cl  0.000  0.000  0.434
Cd  0.000  0.000  0.022
Cd  0.500  0.500  0.258

Volume in A^3/atom: 25.833
Space-group type: Cmm2, No. 35
Energy above the most stable polymorph in this dataset in meV per atom: 227
DOS(E_F) in states/eV/atom: 0.51
Total moment in μB per formula unit: 0.0

---

Below is a geometry-optimized Cd2SbCl structure, with properties calculated at the GGA-PBE level.

abc: 6.248 6.248 6.248
angles: 150.19 122.68 65.94
Sites, in units of the cell vectors:
Sb  0.232  0.732  0.500
Cl  0.533  0.533  0.000
Cd  0.986  0.986  0.000
Cd  0.748  0.248  0.500

Volume in A^3/atom: 25.239
Space-group type: Imm2, No. 44
Energy above the most stable polymorph in this dataset in meV per atom: 229
DOS(E_F) in states/eV/atom: 0.28
Total moment in μB per formula unit: 0.0

---

Below is a geometry-optimized CdSbCl2 structure, with properties calculated at the GGA-PBE level.

abc: 3.244 3.244 11.579
angles: 90.00 90.00 90.00
Sites, in units of the cell vectors:
Sb  0.500  0.500  0.250
Cl  0.000  0.000  0.889
Cl  0.000  0.000  0.611
Cd  0.500  0.500  0.750

Volume in A^3/atom: 30.465
Space-group type: P4/mmm, No. 123
Energy above the most stable polymorph in this dataset in meV per atom: 165
DOS(E_F) in states/eV/atom: 0.35
Total moment in μB per formula unit: 0.0

---

Below is a geometry-optimized CdSbCl structure, with properties calculated at the GGA-PBE level.

abc: 7.779 7.779 7.779
angles: 155.45 155.45 34.99
Sites, in units of the cell vectors:
Sb  0.637  0.637  0.000
Cl  0.377  0.377  0.000
Cd  0.986  0.986  0.000

Volume in A^3/atom: 27.051
Space-group type: I4mm, No. 107
Energy above the most stable polymorph in this dataset in meV per atom: 283
DOS(E_F) in states/eV/atom: 0.25
Total moment in μB per formula unit: 0.0

---

Below is a geometry-optimized Cd2SbCl structure, with properties calculated at the GGA-PBE level.

abc: 5.169 5.169 5.169
angles: 60.00 60.00 60.00
Sites, in units of the cell vectors:
Sb  0.500  0.500  0.500
Cl  0.000  0.000  0.000
Cd  0.250  0.250  0.250
Cd  0.750  0.750  0.750

Volume in A^3/atom: 24.420
Space-group type: Fm-3m, No. 225
Energy above the most stable polymorph in this dataset in meV per atom: 272
DOS(E_F) in states/eV/atom: 0.21
Total moment in μB per formula unit: 0.0

---

Below is a geometry-optimized CdSb2Cl6 structure, with properties calculated at the GGA-PBE level.

abc: 5.712 11.483 11.483
angles: 95.00 76.27 76.27
Sites, in units of the cell vectors:
Cd  0.250  0.000  0.000
Cd  0.750  0.000  0.000
Sb  0.371  0.513  0.739
Sb  0.129  0.261  0.487
Sb  0.629  0.487  0.261
Sb  0.871  0.739  0.513
Cl  0.450  0.704  0.512
Cl  0.050  0.488  0.296
Cl  0.550  0.296  0.488
Cl  0.950  0.512  0.704
Cl  0.868  0.873  0.368
Cl  0.632  0.632  0.127
Cl  0.132  0.127  0.632
Cl  0.368  0.368  0.873
Cl  0.216  0.690  0.888
Cl  0.284  0.112  0.310
Cl  0.784  0.310  0.112
Cl  0.716  0.888  0.690

Volume in A^3/atom: 39.032
Space-group type: C2/c, No. 15
DOS(E_F) in states/eV/atom: 0.25
VASP energy in eV/atom: -2.959
Total moment in μB per formula unit: 0.0